(1)
First-principles (PBE) data for crystalline Ho3Sc2PaSe6 at its relaxed geometry, as listed in Alexandria via LeMat-Bulk.

Structure (CIF):
```
data_Ho3Sc2PaSe6
_chemical_formula_sum 'Ho3 Sc2 Pa1 Se6'
_cell_length_a 3.962
_cell_length_b 8.082
_cell_length_c 8.947
_cell_angle_alpha 102.65
_cell_angle_beta 102.79
_cell_angle_gamma 90.00
_space_group_name_H-M_alt 'P 1'
_space_group_IT_number 1
loop_
_space_group_symop_operation_xyz
'x,y,z'
loop_
_atom_site_label
_atom_site_fract_x
_atom_site_fract_y
_atom_site_fract_z
Se1 0.672 0.574 0.345
Se2 0.997 0.742 0.994
Se3 0.671 0.092 0.341
Pa1 0.500 0.000 0.000
Se4 0.328 0.426 0.655
Ho1 0.162 0.832 0.325
Se5 0.329 0.908 0.659
Sc1 0.161 0.321 0.322
Ho2 0.500 0.500 0.000
Sc2 0.839 0.679 0.678
Ho3 0.838 0.168 0.675
Se6 0.003 0.258 0.006
```

Results
SG: C2/m (12)
E_tot, eV per atom: -6.31
Total magnetic moment, μB/cell: 0.4
Uncorrected formation energy, eV per atom: -1.58

(2)
First-principles (PBE) data for crystalline HoScPa2Se4 at its relaxed geometry, as listed in Alexandria via LeMat-Bulk.

Structure (CIF):
```
data_HoScPa2Se4
_chemical_formula_sum 'Ho1 Sc1 Pa2 Se4'
_cell_length_a 3.836
_cell_length_b 7.495
_cell_length_c 6.632
_cell_angle_alpha 72.82
_cell_angle_beta 90.00
_cell_angle_gamma 90.00
_space_group_name_H-M_alt 'P 1'
_space_group_IT_number 1
loop_
_space_group_symop_operation_xyz
'x,y,z'
loop_
_atom_site_label
_atom_site_fract_x
_atom_site_fract_y
_atom_site_fract_z
Se1 0.000 0.268 0.237
Se2 0.500 0.736 0.248
Pa1 0.500 0.000 0.500
Se3 0.000 0.732 0.763
Ho1 0.000 0.500 0.500
Sc1 0.500 0.500 0.000
Pa2 0.000 0.000 0.000
Se4 0.500 0.264 0.752
```

Results
SG: P2/m (10)
E_tot, eV per atom: -6.89
Total magnetic moment, μB/cell: 0.0
Uncorrected formation energy, eV per atom: -1.42

(3)
First-principles (PBE) data for crystalline HoThScPa at its relaxed geometry, as listed in Alexandria via LeMat-Bulk.

Structure (CIF):
```
data_HoThScPa
_chemical_formula_sum 'Ho1 Th1 Sc1 Pa1'
_cell_length_a 5.433
_cell_length_b 5.433
_cell_length_c 5.433
_cell_angle_alpha 60.00
_cell_angle_beta 60.00
_cell_angle_gamma 60.00
_space_group_name_H-M_alt 'P 1'
_space_group_IT_number 1
loop_
_space_group_symop_operation_xyz
'x,y,z'
loop_
_atom_site_label
_atom_site_fract_x
_atom_site_fract_y
_atom_site_fract_z
Th1 0.250 0.250 0.250
Ho1 0.500 0.500 0.500
Pa1 0.000 0.000 0.000
Sc1 0.750 0.750 0.750
```

Results
SG: F-43m (216)
E_tot, eV per atom: -6.62
Total magnetic moment, μB/cell: 0.0
Formation energy from the elements, kJ per mole of atoms: 31.98

(4)
First-principles (PBE) data for crystalline HoTmScPa at its relaxed geometry, as listed in Alexandria via LeMat-Bulk.

Structure (CIF):
```
data_HoTmScPa
_chemical_formula_sum 'Ho1 Tm1 Sc1 Pa1'
_cell_length_a 5.394
_cell_length_b 5.394
_cell_length_c 5.394
_cell_angle_alpha 60.00
_cell_angle_beta 60.00
_cell_angle_gamma 60.00
_space_group_name_H-M_alt 'P 1'
_space_group_IT_number 1
loop_
_space_group_symop_operation_xyz
'x,y,z'
loop_
_atom_site_label
_atom_site_fract_x
_atom_site_fract_y
_atom_site_fract_z
Pa1 0.750 0.750 0.750
Sc1 0.500 0.500 0.500
Tm1 0.250 0.250 0.250
Ho1 0.000 0.000 0.000
```

Results
SG: F-43m (216)
E_tot, eV per atom: -5.93
Total magnetic moment, μB/cell: 0.0
Formation energy from the elements, kJ per mole of atoms: 27.52

(5)
First-principles (PBE) data for crystalline HoPa3Se4 at its relaxed geometry, as listed in Alexandria via LeMat-Bulk.

Structure (CIF):
```
data_HoPa3Se4
_chemical_formula_sum 'Ho2 Pa6 Se8'
_cell_length_a 6.812
_cell_length_b 7.303
_cell_length_c 8.049
_cell_angle_alpha 90.00
_cell_angle_beta 90.00
_cell_angle_gamma 108.94
_space_group_name_H-M_alt 'P 1'
_space_group_IT_number 1
loop_
_space_group_symop_operation_xyz
'x,y,z'
loop_
_atom_site_label
_atom_site_fract_x
_atom_site_fract_y
_atom_site_fract_z
Se1 0.999 0.244 0.124
Se2 0.501 0.756 0.124
Se3 0.998 0.247 0.629
Pa1 0.250 0.000 0.621
Pa2 0.250 0.500 0.875
Se4 0.502 0.753 0.629
Se5 0.001 0.756 0.876
Se6 0.499 0.244 0.876
Ho1 0.250 0.000 0.125
Se7 0.498 0.247 0.371
Se8 0.002 0.753 0.371
Pa3 0.250 0.500 0.378
Ho2 0.750 0.000 0.875
Pa4 0.750 0.000 0.379
Pa5 0.750 0.500 0.622
Pa6 0.750 0.500 0.125
```

Results
SG: P2/c (13)
E_tot, eV per atom: -7.20
Total magnetic moment, μB/cell: 1.8
Uncorrected formation energy, eV per atom: -1.33

(6)
First-principles (PBE) data for crystalline Ho3PaSe6 at its relaxed geometry, as listed in Alexandria via LeMat-Bulk.

Structure (CIF):
```
data_Ho3PaSe6
_chemical_formula_sum 'Ho6 Pa2 Se12'
_cell_length_a 7.102
_cell_length_b 8.864
_cell_length_c 8.864
_cell_angle_alpha 102.43
_cell_angle_beta 90.00
_cell_angle_gamma 90.00
_space_group_name_H-M_alt 'P 1'
_space_group_IT_number 1
loop_
_space_group_symop_operation_xyz
'x,y,z'
loop_
_atom_site_label
_atom_site_fract_x
_atom_site_fract_y
_atom_site_fract_z
Se1 0.122 0.771 0.229
Se2 0.760 0.991 0.009
Se3 0.709 0.901 0.440
Ho1 0.481 0.292 0.087
Se4 0.209 0.440 0.901
Pa1 0.997 0.165 0.835
Ho2 0.981 0.087 0.292
Se5 0.260 0.009 0.991
Se6 0.622 0.229 0.771
Ho3 0.879 0.594 0.406
Ho4 0.481 0.913 0.708
Se7 0.209 0.099 0.560
Se8 0.674 0.301 0.370
Pa2 0.497 0.835 0.165
Ho5 0.379 0.406 0.594
Se9 0.674 0.630 0.699
Se10 0.174 0.370 0.301
Se11 0.709 0.560 0.099
Se12 0.174 0.699 0.630
Ho6 0.981 0.708 0.913
```

Results
SG: Cmc2_1 (36)
E_tot, eV per atom: -5.99
Total magnetic moment, μB/cell: 4.1
Uncorrected formation energy, eV per atom: -1.58
Excess energy over the best structure of this formula in the dataset, kJ/mol of formula units: 134.6

(7)
First-principles (PBE) data for crystalline Ho2Pa2Se7 at its relaxed geometry, as listed in Alexandria via LeMat-Bulk.

Structure (CIF):
```
data_Ho2Pa2Se7
_chemical_formula_sum 'Ho2 Pa2 Se7'
_cell_length_a 4.021
_cell_length_b 8.863
_cell_length_c 8.863
_cell_angle_alpha 61.25
_cell_angle_beta 76.89
_cell_angle_gamma 76.89
_space_group_name_H-M_alt 'P 1'
_space_group_IT_number 1
loop_
_space_group_symop_operation_xyz
'x,y,z'
loop_
_atom_site_label
_atom_site_fract_x
_atom_site_fract_y
_atom_site_fract_z
Se1 0.500 0.010 0.990
Se2 0.182 0.709 0.927
Se3 0.859 0.423 0.858
Se4 0.390 0.713 0.507
Ho1 0.500 0.322 0.678
Se5 0.610 0.493 0.287
Se6 0.141 0.142 0.577
Ho2 0.000 0.783 0.217
Se7 0.818 0.073 0.291
Pa1 0.260 0.333 0.146
Pa2 0.740 0.854 0.667
```

Results
SG: Imm2 (44)
E_tot, eV per atom: -6.34
Total magnetic moment, μB/cell: 1.7
Uncorrected formation energy, eV per atom: -1.57

(8)
First-principles (PBE) data for crystalline Ho2PaSe at its relaxed geometry, as listed in Alexandria via LeMat-Bulk.

Structure (CIF):
```
data_Ho2PaSe
_chemical_formula_sum 'Ho2 Pa1 Se1'
_cell_length_a 3.487
_cell_length_b 3.487
_cell_length_c 10.567
_cell_angle_alpha 80.50
_cell_angle_beta 80.50
_cell_angle_gamma 60.00
_space_group_name_H-M_alt 'P 1'
_space_group_IT_number 1
loop_
_space_group_symop_operation_xyz
'x,y,z'
loop_
_atom_site_label
_atom_site_fract_x
_atom_site_fract_y
_atom_site_fract_z
Se1 0.500 0.500 0.500
Ho1 0.104 0.104 0.688
Ho2 0.896 0.896 0.312
Pa1 0.000 0.000 0.000
```

Results
SG: R-3m (166)
E_tot, eV per atom: -5.84
Total magnetic moment, μB/cell: 0.0
Uncorrected formation energy, eV per atom: -0.30

(9)
First-principles (PBE) data for crystalline HoPa2Se6 at its relaxed geometry, as listed in Alexandria via LeMat-Bulk.

Structure (CIF):
```
data_HoPa2Se6
_chemical_formula_sum 'Ho1 Pa2 Se6'
_cell_length_a 4.174
_cell_length_b 8.447
_cell_length_c 9.310
_cell_angle_alpha 103.82
_cell_angle_beta 102.95
_cell_angle_gamma 90.00
_space_group_name_H-M_alt 'P 1'
_space_group_IT_number 1
loop_
_space_group_symop_operation_xyz
'x,y,z'
loop_
_atom_site_label
_atom_site_fract_x
_atom_site_fract_y
_atom_site_fract_z
Pa1 0.164 0.325 0.328
Ho1 0.500 0.000 0.000
Se1 0.664 0.100 0.327
Se2 0.327 0.440 0.653
Pa2 0.836 0.675 0.672
Se3 0.336 0.900 0.673
Se4 0.008 0.236 0.016
Se5 0.673 0.560 0.347
Se6 0.992 0.764 0.984
```

Results
SG: C2/m (12)
E_tot, eV per atom: -6.42
Total magnetic moment, μB/cell: 1.1
Uncorrected formation energy, eV per atom: -1.48
Excess energy over the best structure of this formula in the dataset, kJ/mol of formula units: 0.0

(10)
First-principles (PBE) data for crystalline HoPaSe3 at its relaxed geometry, as listed in Alexandria via LeMat-Bulk.

Structure (CIF):
```
data_HoPaSe3
_chemical_formula_sum 'Ho2 Pa2 Se6'
_cell_length_a 4.084
_cell_length_b 7.119
_cell_length_c 10.402
_cell_angle_alpha 101.65
_cell_angle_beta 90.00
_cell_angle_gamma 90.00
_space_group_name_H-M_alt 'P 1'
_space_group_IT_number 1
loop_
_space_group_symop_operation_xyz
'x,y,z'
loop_
_atom_site_label
_atom_site_fract_x
_atom_site_fract_y
_atom_site_fract_z
Se1 0.750 0.518 0.835
Se2 0.250 0.241 0.494
Pa1 0.750 0.141 0.657
Se3 0.750 0.759 0.506
Ho1 0.750 0.264 0.018
Se4 0.750 0.946 0.154
Ho2 0.250 0.736 0.982
Pa2 0.250 0.859 0.343
Se5 0.250 0.482 0.165
Se6 0.250 0.054 0.846
```

Results
SG: P2_1/m (11)
E_tot, eV per atom: -6.40
Total magnetic moment, μB/cell: 3.5
Uncorrected formation energy, eV per atom: -1.50
Excess energy over the best structure of this formula in the dataset, kJ/mol of formula units: 0.0

(11)
First-principles (PBE) data for crystalline Ho6PaSe12 at its relaxed geometry, as listed in Alexandria via LeMat-Bulk.

Structure (CIF):
```
data_Ho6PaSe12
_chemical_formula_sum 'Ho6 Pa1 Se12'
_cell_length_a 8.232
_cell_length_b 8.232
_cell_length_c 8.232
_cell_angle_alpha 99.21
_cell_angle_beta 99.21
_cell_angle_gamma 99.21
_space_group_name_H-M_alt 'P 1'
_space_group_IT_number 1
loop_
_space_group_symop_operation_xyz
'x,y,z'
loop_
_atom_site_label
_atom_site_fract_x
_atom_site_fract_y
_atom_site_fract_z
Ho1 0.325 0.141 0.631
Se1 0.036 0.671 0.917
Ho2 0.675 0.859 0.369
Se2 0.083 0.964 0.329
Se3 0.821 0.581 0.425
Se4 0.964 0.329 0.083
Se5 0.419 0.575 0.179
Se6 0.581 0.425 0.821
Ho3 0.141 0.631 0.325
Se7 0.179 0.419 0.575
Se8 0.329 0.083 0.964
Ho4 0.631 0.325 0.141
Pa1 0.000 0.000 0.000
Se9 0.671 0.917 0.036
Se10 0.575 0.179 0.419
Se11 0.917 0.036 0.671
Ho5 0.369 0.675 0.859
Se12 0.425 0.821 0.581
Ho6 0.859 0.369 0.675
```

Results
SG: R-3 (148)
E_tot, eV per atom: -5.79
Total magnetic moment, μB/cell: 0.0
Uncorrected formation energy, eV per atom: -1.64

(12)
First-principles (PBE) data for crystalline HoPaSe at its relaxed geometry, as listed in Alexandria via LeMat-Bulk.

Structure (CIF):
```
data_HoPaSe
_chemical_formula_sum 'Ho2 Pa2 Se2'
_cell_length_a 3.562
_cell_length_b 3.563
_cell_length_c 13.926
_cell_angle_alpha 90.00
_cell_angle_beta 90.00
_cell_angle_gamma 119.99
_space_group_name_H-M_alt 'P 1'
_space_group_IT_number 1
loop_
_space_group_symop_operation_xyz
'x,y,z'
loop_
_atom_site_label
_atom_site_fract_x
_atom_site_fract_y
_atom_site_fract_z
Se1 0.277 0.555 0.151
Ho1 0.611 0.222 0.299
Se2 0.277 0.555 0.849
Pa1 0.279 0.558 0.500
Ho2 0.611 0.222 0.701
Pa2 0.611 0.221 0.000
```

Results
SG: Amm2 (38)
E_tot, eV per atom: -6.59
Total magnetic moment, μB/cell: 0.0
Uncorrected formation energy, eV per atom: -0.74